The following is a PBE calculation of crystalline BeNbReH2 at its relaxed geometry, from Alexandria.

Cell lengths 3.581, 3.581, 4.644 Å; angles 90.00, 90.00, 90.00 degrees
Space group P4/mmm (No. 123)
One atom of each set of equivalent atoms:
Be  0.000  0.000  0.000 (multiplicity 1)
Nb  0.500  0.500  0.500 (multiplicity 1)
Re  0.000  0.000  0.500 (multiplicity 1)
H  0.000  0.500  0.000 (multiplicity 2)

Results
- electronic total energy (eV per atom) = -5.58
- crystal system = tetragonal